! GGA-PBE MgBiRh2, optimized geometry; values from VASP
&SYSTEM
  ibrav = 0, nat = 4, ntyp = 3
/
ATOMIC_SPECIES
Mg 24.30 Mg.upf
Bi 208.98 Bi.upf
Rh 102.91 Rh.upf
CELL_PARAMETERS angstrom
-2.1894 2.1894 3.6064
2.1894 -2.1894 3.6064
2.1894 2.1894 -3.6064
ATOMIC_POSITIONS crystal
Mg 0.0000 0.0000 0.0000
Bi 0.5000 0.5000 0.0000
Rh 0.2500 0.7500 0.5000
Rh 0.7500 0.2500 0.5000
! Crystal system: tetragonal
! SG: I4/mmm



! GGA-PBE Mg8Bi2Rh, optimized geometry; values from VASP
&SYSTEM
  ibrav = 0, nat = 11, ntyp = 3
/
ATOMIC_SPECIES
Mg 24.30 Mg.upf
Bi 208.98 Bi.upf
Rh 102.91 Rh.upf
CELL_PARAMETERS angstrom
8.4369 -2.3784 0.0000
8.4369 2.3784 0.0000
-2.5317 0.0000 6.3994
ATOMIC_POSITIONS crystal
Mg 0.0211 0.0211 0.3102
Mg 0.1695 0.1695 0.7289
Mg 0.3581 0.3581 0.5775
Mg 0.4148 0.4148 0.0928
Mg 0.5852 0.5852 0.9072
Mg 0.6419 0.6419 0.4225
Mg 0.8305 0.8305 0.2711
Mg 0.9789 0.9789 0.6898
Bi 0.1869 0.1869 0.1847
Bi 0.8131 0.8131 0.8153
Rh 0.5000 0.5000 0.5000
! Crystal system: monoclinic
! SG: C2/m



! GGA-PBE Mg6Bi2Rh, optimized geometry; values from VASP
&SYSTEM
  ibrav = 0, nat = 9, ntyp = 3
/
ATOMIC_SPECIES
Mg 24.30 Mg.upf
Bi 208.98 Bi.upf
Rh 102.91 Rh.upf
CELL_PARAMETERS angstrom
7.5373 -3.5094 0.0000
7.5373 3.5094 0.0000
-1.4300 0.0000 4.4257
ATOMIC_POSITIONS crystal
Mg 0.0814 0.6285 0.3560
Mg 0.2052 0.7948 0.0000
Mg 0.3715 0.9186 0.6440
Mg 0.6285 0.0814 0.3560
Mg 0.7948 0.2052 0.0000
Mg 0.9186 0.3715 0.6440
Bi 0.3291 0.3291 0.8299
Bi 0.6709 0.6709 0.1701
Rh 0.0000 0.0000 0.5000
! Crystal system: monoclinic
! SG: C2/m



! GGA-PBE Mg2Bi2Rh, optimized geometry; values from VASP
&SYSTEM
  ibrav = 0, nat = 10, ntyp = 3
/
ATOMIC_SPECIES
Mg 24.30 Mg.upf
Bi 208.98 Bi.upf
Rh 102.91 Rh.upf
CELL_PARAMETERS angstrom
7.2025 0.0000 0.0000
0.0000 7.2025 0.0000
0.0000 0.0000 4.8385
ATOMIC_POSITIONS crystal
Mg 0.1630 0.3370 0.0000
Mg 0.3370 0.8370 0.0000
Mg 0.6630 0.1630 0.0000
Mg 0.8370 0.6630 0.0000
Bi 0.1555 0.6555 0.5000
Bi 0.3445 0.1555 0.5000
Bi 0.6555 0.8445 0.5000
Bi 0.8445 0.3445 0.5000
Rh 0.0000 0.0000 0.5000
Rh 0.5000 0.5000 0.5000
! Crystal system: tetragonal
! SG: P4/mbm



! GGA-PBE Mg6Bi2Rh, optimized geometry; values from VASP
&SYSTEM
  ibrav = 0, nat = 9, ntyp = 3
/
ATOMIC_SPECIES
Mg 24.30 Mg.upf
Bi 208.98 Bi.upf
Rh 102.91 Rh.upf
CELL_PARAMETERS angstrom
7.8935 0.0000 0.0000
-3.9467 6.8360 0.0000
0.0000 0.0000 3.8927
ATOMIC_POSITIONS crystal
Mg 0.0000 0.3533 0.0000
Mg 0.0000 0.7672 0.5000
Mg 0.2328 0.2328 0.5000
Mg 0.3533 0.0000 0.0000
Mg 0.6467 0.6467 0.0000
Mg 0.7672 0.0000 0.5000
Bi 0.3333 0.6667 0.5000
Bi 0.6667 0.3333 0.5000
Rh 0.0000 0.0000 0.0000
! Crystal system: hexagonal
! SG: P-62m



! GGA-PBE MgBiRh2, optimized geometry; values from VASP
&SYSTEM
  ibrav = 0, nat = 4, ntyp = 3
/
ATOMIC_SPECIES
Mg 24.30 Mg.upf
Bi 208.98 Bi.upf
Rh 102.91 Rh.upf
CELL_PARAMETERS angstrom
3.3644 0.0000 0.0000
0.0000 3.3644 0.0000
0.0000 0.0000 6.2298
ATOMIC_POSITIONS crystal
Mg 0.0000 0.0000 0.0000
Bi 0.0000 0.0000 0.5000
Rh 0.5000 0.5000 0.2393
Rh 0.5000 0.5000 0.7607
! Crystal system: tetragonal
! SG: P4/mmm



! GGA-PBE MgBiRh2, optimized geometry; values from VASP
&SYSTEM
  ibrav = 0, nat = 8, ntyp = 3
/
ATOMIC_SPECIES
Mg 24.30 Mg.upf
Bi 208.98 Bi.upf
Rh 102.91 Rh.upf
CELL_PARAMETERS angstrom
-3.5776 3.5776 3.0011
3.5776 -3.5776 3.0011
3.5776 3.5776 -3.0011
ATOMIC_POSITIONS crystal
Mg 0.0000 0.0000 0.0000
Mg 0.7500 0.2500 0.5000
Bi 0.2500 0.7500 0.5000
Bi 0.5000 0.5000 0.0000
Rh 0.1150 0.1250 0.4900
Rh 0.3750 0.8850 0.0100
Rh 0.6350 0.6250 0.5100
Rh 0.8750 0.3650 0.9900
! Crystal system: tetragonal
! SG: I-42d



! GGA-PBE Mg8Bi3Rh2, optimized geometry; values from VASP
&SYSTEM
  ibrav = 0, nat = 13, ntyp = 3
/
ATOMIC_SPECIES
Mg 24.30 Mg.upf
Bi 208.98 Bi.upf
Rh 102.91 Rh.upf
CELL_PARAMETERS angstrom
4.4771 -7.2909 0.0000
4.4771 7.2909 0.0000
0.0000 0.0000 4.7083
ATOMIC_POSITIONS crystal
Mg 0.1304 0.4337 0.5000
Mg 0.1301 0.8699 0.0000
Mg 0.3194 0.6806 0.0000
Mg 0.4337 0.1304 0.5000
Mg 0.5663 0.8696 0.5000
Mg 0.6806 0.3194 0.0000
Mg 0.8699 0.1301 0.0000
Mg 0.8696 0.5663 0.5000
Bi 0.0000 0.0000 0.5000
Bi 0.3128 0.3128 0.0000
Bi 0.6872 0.6872 0.0000
Rh 0.2204 0.7796 0.5000
Rh 0.7796 0.2204 0.5000
! Crystal system: orthorhombic
! SG: Cmmm



Number 1: calculated formation energy -31.1 kJ per mole of atoms. Number 2: calculated formation energy -18.7 kJ per mole of atoms. Number 3: calculated formation energy -22.2 kJ per mole of atoms. Number 4: calculated formation energy 1.0 kJ per mole of atoms. Number 5: calculated formation energy -26.8 kJ per mole of atoms. Number 6: calculated formation energy -23.7 kJ per mole of atoms. Number 7: calculated formation energy 11.8 kJ per mole of atoms. Number 8: calculated formation energy -22.3 kJ per mole of atoms.